Record 1
Below is a relaxed structure of SrHoTe2, with properties calculated at the GGA-PBE level.

Calculated values
energy above the most stable polymorph in this dataset	0	meV per atom
density of states at the Fermi level	0.4642	states/eV per atom
raw formation energy	-5.894	eV/f.u.
energy	-18.44	eV/f.u.

Unit cell a=4.475 b=4.475 c=7.953 alpha=73.66 beta=73.66 gamma=60.00
Atoms (fractional coordinates):
Sr1 0.500 0.500 0.500
Ho1 0.000 0.000 0.000
Te1 0.257 0.257 0.229
Te2 0.743 0.743 0.771

---

Record 2
Below is a relaxed structure of Nd2Al4Pt3Au, with properties calculated at the GGA-PBE level.

Calculated values
energy relative to the elements	-987	kJ/mol of formula units
density of states at the Fermi level	0.6986	states/eV per atom
energy	-56.13	eV/f.u.

Unit cell a=4.321 b=4.321 c=10.487 alpha=90.00 beta=90.00 gamma=90.00
Atoms (fractional coordinates):
Nd1 0.500 0.000 0.244
Nd2 0.000 0.500 0.756
Al1 0.500 0.500 0.000
Al2 0.000 0.000 0.000
Al3 0.500 0.000 0.633
Al4 0.000 0.500 0.367
Pt1 0.000 0.000 0.500
Pt2 0.500 0.000 0.870
Pt3 0.000 0.500 0.130
Au1 0.500 0.500 0.500

---

Record 3
Below is a relaxed structure of ZnRhF6, with properties calculated at the GGA-PBE level.

Calculated values
density of states at the Fermi level	0.9887	states/eV per atom
raw formation energy	-14.239	eV/f.u.
energy	-34.09	eV/f.u.

Unit cell a=5.026 b=5.026 c=9.357 alpha=90.00 beta=90.00 gamma=120.00
Site moments in Bohr magnetons follow the coordinates.
Atoms (fractional coordinates):
Zn1 0.333 0.667 0.250  0.01
Zn2 0.667 0.333 0.750  0.01
Rh1 0.000 0.000 0.500  0.66
Rh2 0.000 0.000 0.000  0.66
F1 0.309 0.323 0.378  0.05
F2 0.691 0.677 0.622  0.05
F3 0.014 0.691 0.378  0.05
F4 0.309 0.986 0.122  0.05
F5 0.986 0.309 0.622  0.05
F6 0.691 0.014 0.878  0.05
F7 0.677 0.986 0.378  0.05
F8 0.014 0.323 0.122  0.05
F9 0.323 0.014 0.622  0.05
F10 0.986 0.677 0.878  0.05
F11 0.677 0.691 0.122  0.05
F12 0.323 0.309 0.878  0.05

---

Record 4
Below is a relaxed structure of RbHo4PuS8, with properties calculated at the GGA-PBE level.

Calculated values
density of states at the Fermi level	0.5874	states/eV per atom
raw formation energy	-25.315	eV/f.u.
energy	-91.94	eV/f.u.

Unit cell a=8.223 b=8.223 c=8.313 alpha=60.36 beta=60.36 gamma=60.00
Site moments in Bohr magnetons follow the coordinates.
Atoms (fractional coordinates):
Rb1 0.374 0.374 0.877  0.00
Ho1 0.626 0.626 0.123  0.01
Ho2 0.005 0.488 0.502  0.01
Ho3 0.488 0.005 0.502  0.01
Ho4 0.005 0.005 0.502  0.01
Pu1 0.003 0.003 0.990  5.03
S1 0.232 0.809 0.726  -0.04
S2 0.809 0.232 0.726  -0.04
S3 0.232 0.232 0.726  -0.04
S4 0.231 0.231 0.306  0.00
S5 0.753 0.230 0.263  -0.02
S6 0.230 0.753 0.263  -0.02
S7 0.753 0.753 0.263  -0.02
S8 0.757 0.757 0.729  0.00

---

Record 5
Below is a relaxed structure of AlTeOs2, with properties calculated at the GGA-PBE level.

Calculated values
energy above the most stable polymorph in this dataset	0	meV per atom
density of states at the Fermi level	0.4946	states/eV per atom
raw formation energy	1.074	eV/f.u.
energy	-28.27	eV/f.u.

Unit cell a=3.158 b=3.158 c=6.354 alpha=90.00 beta=90.00 gamma=90.00
Atoms (fractional coordinates):
Te1 0.500 0.500 0.250
Os1 0.000 0.000 0.978
Os2 0.000 0.000 0.522
Al1 0.500 0.500 0.750

---

Record 6
Below is a relaxed structure of MgW2Br, with properties calculated at the GGA-PBE level.

Calculated values
energy above the most stable polymorph in this dataset	146	meV per atom
density of states at the Fermi level	0.4553	states/eV per atom
raw formation energy	1.722	eV/f.u.
energy	-27.45	eV/f.u.

Unit cell a=3.061 b=3.061 c=9.035 alpha=90.00 beta=90.00 gamma=114.66
Atoms (fractional coordinates):
Br1 0.000 0.000 0.524
Mg1 0.500 0.500 0.748
W1 0.000 0.000 0.010
W2 0.500 0.500 0.218

---

Record 7
Below is a relaxed structure of NaHgIr2C, with properties calculated at the GGA-PBE level.

Calculated values
energy relative to the elements	1399	kJ/mol of formula units
density of states at the Fermi level	1.1944	states/eV per atom
energy	-14.07	eV/f.u.

Unit cell a=5.000 b=5.033 c=5.000 alpha=90.00 beta=90.00 gamma=90.00
Atoms (fractional coordinates):
Na1 0.000 0.500 0.000
C1 0.500 0.500 0.500
Ir1 0.000 0.000 0.500
Ir2 0.500 0.000 0.000
Hg1 0.000 0.000 0.000

---

Record 8
Below is a relaxed structure of LiSiNi, with properties calculated at the GGA-PBE level.

Calculated values
density of states at the Fermi level	0.3340	states/eV per atom
raw formation energy	-1.003	eV/f.u.
energy	-14.12	eV/f.u.

Unit cell a=4.498 b=4.498 c=4.498 alpha=141.59 beta=141.67 gamma=55.39
Atoms (fractional coordinates):
Li1 0.002 0.002 0.000
Ni1 0.677 0.677 0.000
Si1 0.321 0.321 0.000